1.
First-principles (PBE-GGA) data for crystalline Cs3Sb4Pb4 at its relaxed geometry, as listed in Alexandria.

Cell lengths 9.8472, 9.8472, 6.3340 Å; angles 101.67, 101.67, 49.72 degrees
Element x y z (fractional)
Cs  0.0000  0.0000  0.0000
Cs  0.3762  0.3762  0.9057
Cs  0.6238  0.6238  0.0943
Sb  0.2156  0.2156  0.2716
Sb  0.3248  0.6752  0.5000
Sb  0.6752  0.3248  0.5000
Sb  0.7844  0.7844  0.7284
Pb  0.0354  0.6272  0.3568
Pb  0.3728  0.9646  0.6432
Pb  0.6272  0.0354  0.3568
Pb  0.9646  0.3728  0.6432

## Properties
Its total magnetization is 0.0 Bohr magnetons per cell.

2.
First-principles (PBE-GGA) data for crystalline Cs3SbPb at its relaxed geometry, as listed in Alexandria.

Cell lengths 7.3297, 7.3297, 7.3297 Å; angles 90.00, 90.00, 90.00 degrees
Element x y z (fractional)
Cs  0.0000  0.0000  0.5000
Cs  0.0000  0.5000  0.0000
Cs  0.5000  0.0000  0.0000
Sb  0.0000  0.0000  0.0000
Pb  0.5000  0.5000  0.5000

## Properties
Its total magnetization is 3.9 Bohr magnetons per cell.

3.
First-principles (PBE-GGA) data for crystalline Cs3Sb5Pb6 at its relaxed geometry, as listed in Alexandria.

Cell lengths 4.7457, 17.4588, 13.7532 Å; angles 90.00, 90.00, 90.00 degrees
Element x y z (fractional)
Cs  0.2500  0.1059  0.2328
Cs  0.2500  0.3941  0.2328
Cs  0.2500  0.7500  0.2807
Cs  0.7500  0.2500  0.7193
Cs  0.7500  0.6059  0.7672
Cs  0.7500  0.8941  0.7672
Sb  0.2500  0.0708  0.8405
Sb  0.2500  0.4292  0.8405
Sb  0.2500  0.6228  0.5257
Sb  0.2500  0.7500  0.9227
Sb  0.2500  0.8772  0.5257
Sb  0.7500  0.1228  0.4743
Sb  0.7500  0.2500  0.0773
Sb  0.7500  0.3772  0.4743
Sb  0.7500  0.5708  0.1595
Sb  0.7500  0.9292  0.1595
Pb  0.2500  0.0563  0.5953
Pb  0.2500  0.2500  0.4669
Pb  0.2500  0.2500  0.9343
Pb  0.2500  0.4437  0.5953
Pb  0.2500  0.5805  0.0151
Pb  0.2500  0.9195  0.0151
Pb  0.7500  0.0805  0.9849
Pb  0.7500  0.4195  0.9849
Pb  0.7500  0.5563  0.4047
Pb  0.7500  0.7500  0.0657
Pb  0.7500  0.7500  0.5331
Pb  0.7500  0.9437  0.4047

## Properties
Its total magnetization is 0.0 Bohr magnetons per cell.

4.
First-principles (PBE-GGA) data for crystalline CsSbPb2 at its relaxed geometry, as listed in Alexandria.

Cell lengths 7.5898, 7.5898, 7.5898 Å; angles 40.93, 40.93, 40.93 degrees
Element x y z (fractional)
Cs  0.0000  0.0000  0.0000
Sb  0.5000  0.5000  0.5000
Pb  0.2112  0.2112  0.2112
Pb  0.7888  0.7888  0.7888

## Properties
Its total magnetization is 0.0 Bohr magnetons per cell.

5.
First-principles (PBE-GGA) data for crystalline Cs2Sb2Pb at its relaxed geometry, as listed in Alexandria.

Cell lengths 7.3576, 7.3576, 12.5286 Å; angles 118.06, 118.06, 48.85 degrees
Element x y z (fractional)
Cs  0.0198  0.0198  0.1905
Cs  0.1816  0.1816  0.6006
Cs  0.8184  0.8184  0.3994
Cs  0.9802  0.9802  0.8095
Sb  0.3721  0.3721  0.9514
Sb  0.4861  0.4861  0.6078
Sb  0.5139  0.5139  0.3922
Sb  0.6279  0.6279  0.0486
Pb  0.2827  0.2827  0.1355
Pb  0.7173  0.7173  0.8645

## Properties
Its total magnetization is 0.0 Bohr magnetons per cell.

6.
First-principles (PBE-GGA) data for crystalline Cs3Sb2Pb at its relaxed geometry, as listed in Alexandria.

Cell lengths 10.7224, 10.7224, 10.8256 Å; angles 104.01, 104.01, 31.56 degrees
Element x y z (fractional)
Cs  0.0599  0.0599  0.1891
Cs  0.1915  0.1915  0.5604
Cs  0.3207  0.3207  0.9517
Cs  0.6793  0.6793  0.0483
Cs  0.8085  0.8085  0.4396
Cs  0.9401  0.9401  0.8109
Sb  0.1171  0.1171  0.8282
Sb  0.4104  0.4104  0.5890
Sb  0.5896  0.5896  0.4110
Sb  0.8829  0.8829  0.1718
Pb  0.4357  0.4357  0.3209
Pb  0.5643  0.5643  0.6791

## Properties
Its total magnetization is 0.0 Bohr magnetons per cell.

For reference, energy relative to the elements, uncorrected by record: -0.22 0.11 -0.19 -0.11 -0.34 -0.28 eV/atom.